No. 1
Density functional theory data (GGA-PBE) for a relaxed Li2PrCo9 crystal.

CIF file:
```
data_Li2PrCo9
_chemical_formula_sum 'Li4 Pr2 Co18'
_cell_length_a 8.104
_cell_length_b 8.104
_cell_length_c 4.827
_cell_angle_alpha 90.00
_cell_angle_beta 90.00
_cell_angle_gamma 90.00
_space_group_name_H-M_alt 'P 4/m b m'
_space_group_IT_number 127
_space_group_name_Hall '-P 4 2ab'
loop_
_atom_site_label
_atom_site_type_symbol
_atom_site_fract_x
_atom_site_fract_y
_atom_site_fract_z
Li1 Li 0.114 0.386 0.000
Pr1 Pr 0.000 0.000 0.000
Co1 Co 0.000 0.500 0.500
Co2 Co 0.069 0.215 0.500
Co3 Co 0.179 0.679 0.240
```

ΔE_f, eV per atom: 0.03

No. 2
Density functional theory data (GGA-PBE) for a relaxed Fe2PCl crystal.

CIF file:
```
data_Fe2PCl
_chemical_formula_sum 'Fe2 P1 Cl1'
_cell_length_a 3.222
_cell_length_b 3.723
_cell_length_c 6.239
_cell_angle_alpha 90.00
_cell_angle_beta 90.00
_cell_angle_gamma 90.00
_space_group_name_H-M_alt 'P m m 2'
_space_group_IT_number 25
loop_
_space_group_symop_operation_xyz
'x,y,z'
'-x,-y,z'
'-x,y,z'
'x,-y,z'
loop_
_atom_site_label
_atom_site_type_symbol
_atom_site_fract_x
_atom_site_fract_y
_atom_site_fract_z
Fe1 Fe 0.000 0.000 0.000
Fe2 Fe 0.500 0.500 0.035
P1 P 0.000 0.500 0.780
Cl1 Cl 0.500 0.000 0.291
```

Relative energy among the computed polymorphs, meV per atom: 223
Formation energy (no corrections), eV/f.u.: -0.32

No. 3
Density functional theory data (GGA-PBE) for a relaxed Pr3Y3ScS8 crystal.

CIF file:
```
data_Pr3Y3ScS8
_chemical_formula_sum 'Pr9 Y9 Sc3 S24'
_cell_length_a 7.9054
_cell_length_b 7.9054
_cell_length_c 19.7894
_cell_angle_alpha 90.00
_cell_angle_beta 90.00
_cell_angle_gamma 120.00
_space_group_name_H-M_alt 'R -3 m'
_space_group_IT_number 166
_space_group_name_Hall '-R 3 2"'
loop_
_atom_site_label
_atom_site_type_symbol
_atom_site_fract_x
_atom_site_fract_y
_atom_site_fract_z
Pr1 Pr 0.0000 0.5000 0.0000
Y1 Y 0.0000 0.5000 0.5000
Sc1 Sc 0.0000 0.0000 0.5000
S1 S 0.0000 0.0000 0.2443
S2 S 0.0092 0.5046 0.2424
```

Formation energy (no corrections), eV/f.u.: -30.45

No. 4
Density functional theory data (GGA-PBE) for a relaxed AlCuAs2 crystal.

CIF file:
```
data_AlCuAs2
_chemical_formula_sum 'Al1 Cu1 As2'
_cell_length_a 3.681
_cell_length_b 3.695
_cell_length_c 5.082
_cell_angle_alpha 90.00
_cell_angle_beta 90.00
_cell_angle_gamma 90.00
_space_group_name_H-M_alt 'P m m m'
_space_group_IT_number 47
loop_
_space_group_symop_operation_xyz
'x,y,z'
'-x,-y,-z'
'-x,-y,z'
'x,y,-z'
'x,-y,-z'
'-x,y,z'
'-x,y,-z'
'x,-y,z'
loop_
_atom_site_label
_atom_site_type_symbol
_atom_site_fract_x
_atom_site_fract_y
_atom_site_fract_z
Al1 Al 0.000 0.000 0.000
Cu1 Cu 0.500 0.000 0.500
As1 As 0.000 0.500 0.500
As2 As 0.500 0.500 0.000
```

ΔE_f, eV per atom: 0.20

No. 5
Density functional theory data (GGA-PBE) for a relaxed La4Pr5Er2 crystal.

CIF file:
```
data_La4Pr5Er2
_chemical_formula_sum 'La8 Pr10 Er4'
_cell_length_a 3.606
_cell_length_b 11.753
_cell_length_c 18.745
_cell_angle_alpha 90.00
_cell_angle_beta 90.00
_cell_angle_gamma 90.00
_space_group_name_H-M_alt 'I m m m'
_space_group_IT_number 71
_space_group_name_Hall '-I 2 2'
loop_
_atom_site_label
_atom_site_type_symbol
_atom_site_fract_x
_atom_site_fract_y
_atom_site_fract_z
La1 La 0.000 0.000 0.088
La2 La 0.000 0.256 0.500
Pr1 Pr 0.000 0.290 0.321
Pr2 Pr 0.000 0.500 0.000
Er1 Er 0.000 0.000 0.295
```

Relative energy among the computed polymorphs, meV per atom: 111
ΔE_f, eV per atom: 0.19

No. 6
Density functional theory data (GGA-PBE) for a relaxed CsK3N8 crystal.

CIF file:
```
data_CsK3N8
_chemical_formula_sum 'Cs2 K6 N16'
_cell_length_a 10.738
_cell_length_b 8.716
_cell_length_c 7.575
_cell_angle_alpha 90.00
_cell_angle_beta 134.74
_cell_angle_gamma 90.00
_space_group_name_H-M_alt 'C 1 2 1'
_space_group_IT_number 5
loop_
_space_group_symop_operation_xyz
'x,y,z'
'-x,y,-z'
'x+1/2,y+1/2,z'
'-x+1/2,y+1/2,-z'
loop_
_atom_site_label
_atom_site_type_symbol
_atom_site_fract_x
_atom_site_fract_y
_atom_site_fract_z
Cs1 Cs 0.000 0.000 0.000
K1 K 0.000 0.143 0.500
K2 K 0.000 0.493 0.000
K3 K 0.000 0.642 0.500
N1 N 0.198 0.708 0.001
N2 N 0.198 0.708 0.395
N3 N 0.232 0.313 0.997
N4 N 0.233 0.314 0.468
```

Formation energy (no corrections), eV/f.u.: -1.15

No. 7
Density functional theory data (GGA-PBE) for a relaxed CoSbRu crystal.

CIF file:
```
data_CoSbRu
_chemical_formula_sum 'Co1 Sb1 Ru1'
_cell_length_a 3.0352
_cell_length_b 3.0352
_cell_length_c 6.0109
_cell_angle_alpha 90.00
_cell_angle_beta 90.00
_cell_angle_gamma 120.00
_space_group_name_H-M_alt 'P 3 m 1'
_space_group_IT_number 156
loop_
_space_group_symop_operation_xyz
'x,y,z'
'-y,x-y,z'
'-x+y,-x,z'
'-y,-x,z'
'-x+y,y,z'
'x,x-y,z'
loop_
_atom_site_label
_atom_site_type_symbol
_atom_site_fract_x
_atom_site_fract_y
_atom_site_fract_z
Co1 Co 0.0000 0.0000 0.0000
Sb1 Sb 0.6667 0.3333 0.6659
Ru1 Ru 0.3333 0.6667 0.3173
```

Relative energy among the computed polymorphs, meV per atom: 334
Formation energy (no corrections), eV/f.u.: 1.35

No. 8
Density functional theory data (GGA-PBE) for a relaxed Sr2YZr crystal.

CIF file:
```
data_Sr2YZr
_chemical_formula_sum 'Sr2 Y1 Zr1'
_cell_length_a 5.107
_cell_length_b 5.107
_cell_length_c 5.602
_cell_angle_alpha 90.00
_cell_angle_beta 90.00
_cell_angle_gamma 90.00
_space_group_name_H-M_alt 'P 4/m m m'
_space_group_IT_number 123
_space_group_name_Hall '-P 4 2'
loop_
_atom_site_label
_atom_site_type_symbol
_atom_site_fract_x
_atom_site_fract_y
_atom_site_fract_z
Sr1 Sr 0.000 0.500 0.000
Y1 Y 0.000 0.000 0.500
Zr1 Zr 0.500 0.500 0.500
```

Relative energy among the computed polymorphs, meV per atom: 249
ΔE_f, eV per atom: 0.50

Number 1: DOS at the Fermi energy 27.75 states/eV per cell, VASP energy -72.15 eV per formula unit. Number 2: DOS at the Fermi energy 1.73 states/eV per cell, VASP energy -24.50 eV per formula unit. Number 3: DOS at the Fermi energy 22.38 states/eV per cell, VASP energy -103.53 eV per formula unit. Number 4: DOS at the Fermi energy 0.89 states/eV per cell, VASP energy -16.32 eV per formula unit. Number 5: DOS at the Fermi energy 31.57 states/eV per cell, VASP energy -50.69 eV per formula unit. Number 6: DOS at the Fermi energy 12.16 states/eV per cell, VASP energy -71.90 eV per formula unit. Number 7: DOS at the Fermi energy 3.81 states/eV per cell, VASP energy -19.15 eV per formula unit. Number 8: DOS at the Fermi energy 6.48 states/eV per cell, VASP energy -16.37 eV per formula unit.